[1]
Entry from Alexandria: a relaxed Pm3Pr2Sm2 crystal (PBE).

- DFT formation energy (meV/atom) = 108.4
- space-group type = C2/m (12)
- Fermi-level density of states (states/eV/atom) = 1.511
- distance to the lowest polymorph of the same formula (eV per atom) = 0.073

Cell lengths 9.129, 9.129, 8.789 Å; angles 118.40, 118.40, 22.53 degrees
Fractional coordinates of all 7 atoms:
Pm  0.000  0.000  0.000
Pm  0.213  0.213  0.300
Pm  0.787  0.787  0.700
Pr  0.434  0.434  0.590
Pr  0.566  0.566  0.410
Sm  0.149  0.149  0.835
Sm  0.851  0.851  0.165

=====

[2]
Entry from Alexandria: a relaxed GeAsH2Se crystal (PBE).

- space-group type = P1 (1)
- Fermi-level density of states (states/eV/atom) = 0.334
- distance to the lowest polymorph of the same formula (eV per atom) = 0.150

Cell lengths 4.181, 4.348, 5.226 Å; angles 88.82, 85.47, 74.58 degrees
Fractional coordinates of all 5 atoms:
Ge  0.000  0.000  0.000
As  0.763  0.696  0.399
H  0.129  0.655  0.872
H  0.432  0.754  0.264
Se  0.526  0.150  0.687

=====

[3]
Entry from Alexandria: a relaxed Na2LiCdRu crystal (PBE).

- DFT formation energy (meV/atom) = 715.4
- space-group type = P4/mmm (123)
- Fermi-level density of states (states/eV/atom) = 0.285

Cell lengths 4.683, 4.683, 4.641 Å; angles 90.00, 90.00, 90.00 degrees
Fractional coordinates of all 5 atoms:
Na  0.000  0.500  0.000
Na  0.500  0.000  0.000
Li  0.000  0.000  0.000
Cd  0.500  0.500  0.500
Ru  0.000  0.000  0.500

=====

Q: The highest Fermi-level density of states belongs to which entry?
A: Pm3Pr2Sm2

=====

Q: Which of these has the lowest Fermi-level density of states?
A: Na2LiCdRu